# Hf4RePd

Hf4RePd after structural relaxation (GGA-PBE, the Alexandria database).

E = -9.910 eV/atom
DOS(E_F) = 1.19 states/eV per atom
formation enthalpy at 0 K = -0.33 eV per atom
volume = 114.9 Å³ per cell
ΔE to the lowest computed polymorph = 0.0 kJ/mol of atoms
total moment = 0.000 μB per formula unit

```
Hf4RePd
1.0
3.321 0.000 0.000
0.000 3.321 0.000
0.000 0.000 10.417
Hf Re Pd
4 1 1
Cartesian
0.000 0.000 1.580 Hf
0.000 0.000 8.837 Hf
1.660 1.660 3.541 Hf
1.660 1.660 6.877 Hf
1.660 1.660 0.000 Re
0.000 0.000 5.209 Pd
```

# HfRePd3

HfRePd3 after structural relaxation (GGA-PBE, the Alexandria database).

E = -6.508 eV/atom
DOS(E_F) = 1.28 states/eV per atom
formation enthalpy at 0 K = 1.09 eV per atom
volume = 107.7 Å³ per cell
ΔE to the lowest computed polymorph = 0.0 kJ/mol of atoms
total moment = 0.000 μB per formula unit

```
HfRePd3
1.0
4.758 0.000 0.000
0.000 4.758 0.000
0.000 0.000 4.758
Hf Re Pd
1 1 3
Cartesian
0.000 0.000 0.000 Hf
2.379 2.379 2.379 Re
0.000 2.379 2.379 Pd
2.379 0.000 2.379 Pd
2.379 2.379 0.000 Pd
```

# Hf4RePd

Hf4RePd after structural relaxation (GGA-PBE, the Alexandria database).

E = -9.677 eV/atom
DOS(E_F) = 0.93 states/eV per atom
formation enthalpy at 0 K = -0.10 eV per atom
volume = 267.7 Å³ per cell
ΔE to the lowest computed polymorph = 22.5 kJ/mol of atoms
total moment = 0.000 μB per formula unit

```
Hf4RePd
1.0
-3.220 3.220 6.454
3.220 -3.220 6.454
3.220 3.220 -6.454
Hf Re Pd
8 2 2
Cartesian
1.564 0.000 0.000 Hf
4.877 0.000 0.000 Hf
1.610 3.174 -3.227 Hf
1.610 -0.046 3.227 Hf
1.564 3.220 0.000 Hf
1.656 0.000 6.454 Hf
-1.610 3.267 3.227 Hf
1.610 3.267 3.227 Hf
3.220 -1.610 4.841 Re
0.000 4.830 1.614 Re
3.220 1.610 1.614 Pd
0.000 1.610 4.841 Pd
```

# Hf5Re4Pd

Hf5Re4Pd after structural relaxation (GGA-PBE, the Alexandria database).

E = -10.920 eV/atom
DOS(E_F) = 0.59 states/eV per atom
formation enthalpy at 0 K = -0.44 eV per atom
volume = 177.7 Å³ per cell
total moment = 0.000 μB per formula unit

```
Hf5Re4Pd
1.0
3.294 0.000 0.000
0.000 3.294 0.000
0.000 0.000 16.378
Hf Re Pd
5 4 1
Cartesian
0.000 0.000 0.000 Hf
0.000 0.000 3.262 Hf
0.000 0.000 6.452 Hf
0.000 0.000 9.926 Hf
0.000 0.000 13.116 Hf
1.647 1.647 1.631 Re
1.647 1.647 4.943 Re
1.647 1.647 11.435 Re
1.647 1.647 14.747 Re
1.647 1.647 8.189 Pd
```

# HfRe2Pd

HfRe2Pd after structural relaxation (GGA-PBE, the Alexandria database).

E = -9.672 eV/atom
DOS(E_F) = 0.77 states/eV per atom
formation enthalpy at 0 K = 0.34 eV per atom
volume = 143.5 Å³ per cell
ΔE to the lowest computed polymorph = 3.4 kJ/mol of atoms
total moment = 0.000 μB per formula unit

```
HfRe2Pd
1.0
-1.888 1.888 10.063
1.888 -1.888 10.063
1.888 1.888 -10.063
Hf Re Pd
2 4 2
Cartesian
0.000 0.000 0.000 Hf
0.000 1.888 5.031 Hf
2.832 0.809 -2.516 Re
0.809 0.944 2.516 Re
-0.944 1.079 7.547 Re
1.079 0.944 12.579 Re
1.888 0.000 5.031 Pd
0.000 0.000 10.063 Pd
```

# Hf3RePd2

Hf3RePd2 after structural relaxation (GGA-PBE, the Alexandria database).

E = -9.383 eV/atom
DOS(E_F) = 0.84 states/eV per atom
formation enthalpy at 0 K = -0.60 eV per atom
volume = 108.8 Å³ per cell
total moment = 0.000 μB per formula unit

```
Hf3RePd2
1.0
3.279 0.000 0.000
0.000 3.279 0.000
0.000 0.000 10.120
Hf Re Pd
3 1 2
Cartesian
0.000 0.000 0.000 Hf
0.000 0.000 3.476 Hf
0.000 0.000 6.644 Hf
1.639 1.639 5.060 Re
1.639 1.639 1.724 Pd
1.639 1.639 8.395 Pd
```

Question: Look up the E of the fourth one.
Answer: -10.920 eV/atom

Question: The highest volume belongs to which entry?
Answer: number 3

Question: The highest DOS(E_F) belongs to which entry?
Answer: HfRePd3